# 1
A plane-wave DFT calculation with PBE-GGA was carried out for a geometry-optimized Nd3Dy2Th2 structure.

Values from the calculation:
Total magnetic moment, μB per formula unit: 0.0
Density of states at the Fermi level, states/eV per cell: 20.37
Volume, Å³ per atom: 33.597
ΔH_f (0 K), eV/atom: 0.193

a = 5.6079 Å, b = 24.2978 Å, c = 3.4519 Å
α = 90.00°, β = 90.00°, γ = 90.00°
With the nearest neighbours (Å) after each atom.
Fractional coordinates of all 14 atoms:
Nd 0.0000 0.0000 0.0000  2 Th 3.42, 2 Nd 3.45, 8 Dy 3.76
Nd 0.0000 0.2904 0.0000  3 Th 3.27-3.64, 4 Nd 3.42-3.45
Nd 0.0000 0.7096 0.0000  3 Th 3.27-3.64, 4 Nd 3.42-3.45
Nd 0.5000 0.2096 0.0000  3 Th 3.27-3.64, 4 Nd 3.42-3.45
Nd 0.5000 0.5000 0.0000  2 Th 3.42, 2 Nd 3.45, 8 Dy 3.76
Nd 0.5000 0.7904 0.0000  3 Th 3.27-3.64, 4 Nd 3.42-3.45
Dy 0.0000 0.4251 0.5000  3 Dy 3.45-3.64, 4 Th 3.66, 6 Nd 3.70-3.76
Dy 0.0000 0.5749 0.5000  3 Dy 3.45-3.64, 4 Th 3.66, 6 Nd 3.70-3.76
Dy 0.5000 0.0749 0.5000  3 Dy 3.45-3.64, 4 Th 3.66, 6 Nd 3.70-3.76
Dy 0.5000 0.9251 0.5000  3 Dy 3.45-3.64, 4 Th 3.66, 6 Nd 3.70-3.76
Th 0.0000 0.1406 0.0000  4 Nd 3.27-3.64, 2 Th 3.45, 4 Dy 3.66
Th 0.0000 0.8594 0.0000  4 Nd 3.27-3.64, 2 Th 3.45, 4 Dy 3.66
Th 0.5000 0.3594 0.0000  4 Nd 3.27-3.64, 2 Th 3.45, 4 Dy 3.66
Th 0.5000 0.6406 0.0000  4 Nd 3.27-3.64, 2 Th 3.45, 4 Dy 3.66

=====

# 2
A plane-wave DFT calculation with PBE-GGA was carried out for a geometry-optimized Cs2KRu structure.

Values from the calculation:
Total magnetic moment, μB per formula unit: 1.2
Density of states at the Fermi level, states/eV per cell: 91.40
Volume, Å³ per atom: 43.994
ΔH_f (0 K), eV/atom: 1.103

a = 8.8955 Å, b = 8.8955 Å, c = 8.8955 Å
α = 90.00°, β = 90.00°, γ = 90.00°
With the nearest neighbours (Å) after each atom.
Fractional coordinates of all 16 atoms:
Cs 0.2500 0.2500 0.2500  4 K 3.85, 4 Ru 3.85
Cs 0.2500 0.2500 0.7500  4 K 3.85, 4 Ru 3.85
Cs 0.2500 0.7500 0.2500  4 K 3.85, 4 Ru 3.85
Cs 0.2500 0.7500 0.7500  4 K 3.85, 4 Ru 3.85
Cs 0.7500 0.2500 0.2500  4 K 3.85, 4 Ru 3.85
Cs 0.7500 0.2500 0.7500  4 K 3.85, 4 Ru 3.85
Cs 0.7500 0.7500 0.2500  4 K 3.85, 4 Ru 3.85
Cs 0.7500 0.7500 0.7500  4 K 3.85, 4 Ru 3.85
K 0.0000 0.0000 0.0000  8 Cs 3.85
K 0.0000 0.5000 0.5000  8 Cs 3.85
K 0.5000 0.0000 0.5000  8 Cs 3.85
K 0.5000 0.5000 0.0000  8 Cs 3.85
Ru 0.0000 0.0000 0.5000  8 Cs 3.85
Ru 0.0000 0.5000 0.0000  8 Cs 3.85
Ru 0.5000 0.0000 0.0000  8 Cs 3.85
Ru 0.5000 0.5000 0.5000  8 Cs 3.85

=====

# 3
A plane-wave DFT calculation with PBE-GGA was carried out for a geometry-optimized PaGaTcRh structure.

Values from the calculation:
Total magnetic moment, μB per formula unit: 0.0
Energy above the most stable polymorph in this dataset, meV/atom: 127
Density of states at the Fermi level, states/eV per cell: 6.46
Volume, Å³ per atom: 17.602
ΔH_f (0 K), eV/atom: -0.501

a = 6.5548 Å, b = 6.5548 Å, c = 6.5548 Å
α = 90.00°, β = 90.00°, γ = 90.00°
With the nearest neighbours (Å) after each atom.
Fractional coordinates of all 16 atoms:
Pa 0.0000 0.0000 0.0000  4 Tc 2.84, 4 Rh 2.84
Pa 0.0000 0.5000 0.5000  4 Rh 2.84, 4 Tc 2.84
Pa 0.5000 0.0000 0.5000  4 Rh 2.84, 4 Tc 2.84
Pa 0.5000 0.5000 0.0000  4 Rh 2.84, 4 Tc 2.84
Ga 0.0000 0.0000 0.5000  4 Tc 2.84, 4 Rh 2.84
Ga 0.0000 0.5000 0.0000  4 Tc 2.84, 4 Rh 2.84
Ga 0.5000 0.0000 0.0000  4 Tc 2.84, 4 Rh 2.84
Ga 0.5000 0.5000 0.5000  4 Tc 2.84, 4 Rh 2.84
Tc 0.2500 0.2500 0.7500  4 Pa 2.84, 4 Ga 2.84
Tc 0.2500 0.7500 0.2500  4 Pa 2.84, 4 Ga 2.84
Tc 0.7500 0.2500 0.2500  4 Pa 2.84, 4 Ga 2.84
Tc 0.7500 0.7500 0.7500  4 Ga 2.84, 4 Pa 2.84
Rh 0.2500 0.2500 0.2500  4 Pa 2.84, 4 Ga 2.84
Rh 0.2500 0.7500 0.7500  4 Pa 2.84, 4 Ga 2.84
Rh 0.7500 0.2500 0.7500  4 Pa 2.84, 4 Ga 2.84
Rh 0.7500 0.7500 0.2500  4 Pa 2.84, 4 Ga 2.84

=====

# 4
A plane-wave DFT calculation with PBE-GGA was carried out for a geometry-optimized Ta2VReH structure.

Values from the calculation:
Total magnetic moment, μB per formula unit: 0.0
Energy above the most stable polymorph in this dataset, meV/atom: 0
Density of states at the Fermi level, states/eV per cell: 2.54
Volume, Å³ per atom: 13.296

a = 4.4753 Å, b = 4.4753 Å, c = 3.3192 Å
α = 90.00°, β = 90.00°, γ = 90.00°
With the nearest neighbours (Å) after each atom.
Fractional coordinates of all 5 atoms:
Ta 0.0000 0.5000 0.0000  2 H 2.24
Ta 0.5000 0.0000 0.0000  2 H 2.24
V 0.0000 0.0000 0.5000  2 H 1.66
Re 0.5000 0.5000 0.5000  8 Ta 2.79
H 0.0000 0.0000 0.0000  2 V 1.66

=====

# 5
A plane-wave DFT calculation with PBE-GGA was carried out for a geometry-optimized Ce2CdC structure.

Values from the calculation:
Total magnetic moment, μB per formula unit: 1.4
Density of states at the Fermi level, states/eV per cell: 20.82
Volume, Å³ per atom: 23.097
ΔH_f (0 K), eV/atom: -0.184

a = 3.5203 Å, b = 3.5203 Å, c = 25.8251 Å
α = 90.00°, β = 90.00°, γ = 120.00°
With the nearest neighbours (Å) after each atom.
Fractional coordinates of all 12 atoms:
Ce 0.0000 0.0000 0.0000  3 C 2.50
Ce 0.0000 0.0000 0.2215  3 C 2.49
Ce 0.3333 0.6667 0.6667  3 C 2.50
Ce 0.3333 0.6667 0.8881  3 C 2.49
Ce 0.6667 0.3333 0.3333  3 C 2.50
Ce 0.6667 0.3333 0.5548  3 C 2.49
Cd 0.0000 0.0000 0.4453  6 Ce 3.48-3.53, 6 Cd 3.52
Cd 0.3333 0.6667 0.1119  6 Ce 3.48-3.53, 6 Cd 3.52
Cd 0.6667 0.3333 0.7786  6 Ce 3.48-3.53, 6 Cd 3.52
C 0.0000 0.0000 0.6105  6 Ce 2.49-2.50
C 0.3333 0.6667 0.2772  6 Ce 2.49-2.50
C 0.6667 0.3333 0.9438  6 Ce 2.49-2.50

=====

# 6
A plane-wave DFT calculation with PBE-GGA was carried out for a geometry-optimized TbIn2Cu structure.

Values from the calculation:
Total magnetic moment, μB per formula unit: 0.3
Density of states at the Fermi level, states/eV per cell: 2.75
Volume, Å³ per atom: 21.882
ΔH_f (0 K), eV/atom: -0.188

a = 3.3867 Å, b = 3.3867 Å, c = 7.6312 Å
α = 90.00°, β = 90.00°, γ = 90.00°
With the nearest neighbours (Å) after each atom.
Fractional coordinates of all 4 atoms:
Tb 0.0000 0.0000 0.0000  8 In 3.29, 4 Tb 3.39
In 0.5000 0.5000 0.2953  4 Cu 2.86, 1 In 3.12
In 0.5000 0.5000 0.7047  4 Cu 2.86, 1 In 3.12
Cu 0.0000 0.0000 0.5000  8 In 2.86

=====

# 7
A plane-wave DFT calculation with PBE-GGA was carried out for a geometry-optimized ScTe2Pt structure.

Values from the calculation:
Total magnetic moment, μB per formula unit: 0.0
Density of states at the Fermi level, states/eV per cell: 2.27
Volume, Å³ per atom: 25.249
ΔE_f (raw), eV per formula unit: -3.0

a = 3.7931 Å, b = 3.7931 Å, c = 7.0196 Å
α = 90.00°, β = 90.00°, γ = 90.00°
With the nearest neighbours (Å) after each atom.
Fractional coordinates of all 4 atoms:
Sc 0.0000 0.0000 0.0000  5 Te 2.75-2.91
Te 0.0000 0.0000 0.6084  1 Sc 2.75, 4 Pt 2.91
Te 0.5000 0.5000 0.1603  1 Pt 2.74, 4 Sc 2.91
Pt 0.5000 0.5000 0.7703  5 Te 2.74-2.91

=====

# 8
A plane-wave DFT calculation with PBE-GGA was carried out for a geometry-optimized Be2NbN structure.

Values from the calculation:
Total magnetic moment, μB per formula unit: 0.0
Density of states at the Fermi level, states/eV per cell: 5.83
Volume, Å³ per atom: 10.113
ΔE_f (raw), eV per formula unit: -0.3

a = 6.0882 Å, b = 6.0882 Å, c = 4.3654 Å
α = 90.00°, β = 90.00°, γ = 90.00°
With the nearest neighbours (Å) after each atom.
Fractional coordinates of all 16 atoms:
Be 0.1492 0.2500 0.1250  2 N 1.85
Be 0.2500 0.6492 0.3750  2 N 1.85
Be 0.2500 0.8508 0.8750  2 N 1.85
Be 0.3508 0.2500 0.6250  2 N 1.85
Be 0.6492 0.7500 0.6250  2 N 1.85
Be 0.7500 0.1492 0.8750  2 N 1.85
Be 0.7500 0.3508 0.3750  2 N 1.85
Be 0.8508 0.7500 0.1250  2 N 1.85
Nb 0.0000 0.0000 0.5000  2 N 2.18, 4 Be 2.41
Nb 0.0000 0.5000 0.7500  2 N 2.18, 4 Be 2.41
Nb 0.5000 0.0000 0.2500  2 N 2.18, 4 Be 2.41
Nb 0.5000 0.5000 0.0000  2 N 2.18, 4 Be 2.41
N 0.0000 0.0000 0.0000  4 Be 1.85
N 0.0000 0.5000 0.2500  4 Be 1.85
N 0.5000 0.0000 0.7500  4 Be 1.85
N 0.5000 0.5000 0.5000  4 Be 1.85

=====

# 9
A plane-wave DFT calculation with PBE-GGA was carried out for a geometry-optimized RbSrP2 structure.

Values from the calculation:
Total magnetic moment, μB per formula unit: 0.0
Energy above the most stable polymorph in this dataset, meV/atom: 0
Density of states at the Fermi level, states/eV per cell: 9.08
Volume, Å³ per atom: 36.475
ΔH_f (0 K), eV/atom: -0.088

a = 5.3775 Å, b = 5.3775 Å, c = 20.1813 Å
α = 90.00°, β = 90.00°, γ = 90.00°
With the nearest neighbours (Å) after each atom.
Fractional coordinates of all 16 atoms:
Rb 0.0000 0.0000 0.0000  8 P 3.74-4.12, 4 Sr 3.80
Rb 0.0000 0.5000 0.2500  8 P 3.74-4.12, 4 Sr 3.80
Rb 0.5000 0.0000 0.7500  8 P 3.74-4.12, 4 Sr 3.80
Rb 0.5000 0.5000 0.5000  8 P 3.74-4.12, 4 Sr 3.80
Sr 0.0000 0.0000 0.5000  4 P 2.87
Sr 0.0000 0.5000 0.7500  4 P 2.87
Sr 0.5000 0.0000 0.2500  4 P 2.87
Sr 0.5000 0.5000 0.0000  4 P 2.87
P 0.0506 0.2500 0.6250  2 P 2.74, 2 Sr 2.87
P 0.2500 0.5506 0.8750  2 P 2.74, 2 Sr 2.87
P 0.2500 0.9494 0.3750  2 P 2.74, 2 Sr 2.87
P 0.4494 0.2500 0.1250  2 P 2.74, 2 Sr 2.87
P 0.5506 0.7500 0.1250  2 P 2.74, 2 Sr 2.87
P 0.7500 0.0506 0.3750  2 P 2.74, 2 Sr 2.87
P 0.7500 0.4494 0.8750  2 P 2.74, 2 Sr 2.87
P 0.9494 0.7500 0.6250  2 P 2.74, 2 Sr 2.87

=====

# 10
A plane-wave DFT calculation with PBE-GGA was carried out for a geometry-optimized Sc3Zn4Ga2Pd2 structure.

Values from the calculation:
Total magnetic moment, μB per formula unit: 0.0
Density of states at the Fermi level, states/eV per cell: 4.45
Volume, Å³ per atom: 17.697
ΔH_f (0 K), eV/atom: -0.465

a = 13.3969 Å, b = 13.3969 Å, c = 13.3969 Å
α = 163.47°, β = 163.47°, γ = 23.46°
With the nearest neighbours (Å) after each atom.
Fractional coordinates of all 11 atoms:
Sc 0.0000 0.0000 0.0000  8 Ga 2.98
Sc 0.2093 0.2093 0.0000  5 Pd 2.80
Sc 0.7907 0.7907 0.0000  5 Pd 2.80
Zn 0.1123 0.6123 0.5000  2 Ga 2.59, 2 Pd 2.69, 4 Zn 2.72
Zn 0.3877 0.8877 0.5000  2 Ga 2.59, 2 Pd 2.69, 4 Zn 2.72
Zn 0.6123 0.1123 0.5000  2 Ga 2.59, 2 Pd 2.69, 4 Zn 2.72
Zn 0.8877 0.3877 0.5000  2 Ga 2.59, 2 Pd 2.69, 4 Zn 2.72
Ga 0.4539 0.4539 0.0000  1 Ga 2.42, 4 Zn 2.59
Ga 0.5461 0.5461 0.0000  1 Ga 2.42, 4 Zn 2.59
Pd 0.3161 0.3161 0.0000  4 Zn 2.69, 5 Sc 2.80
Pd 0.6839 0.6839 0.0000  4 Zn 2.69, 5 Sc 2.80

=====

# 11
A plane-wave DFT calculation with PBE-GGA was carried out for a geometry-optimized GeP2ClF structure.

Values from the calculation:
Total magnetic moment, μB per formula unit: 1.9
Energy above the most stable polymorph in this dataset, meV/atom: 165
Density of states at the Fermi level, states/eV per cell: 3.71
Volume, Å³ per atom: 22.206
ΔE_f (raw), eV per formula unit: 2.8

a = 4.8024 Å, b = 4.8024 Å, c = 4.8143 Å
α = 90.00°, β = 90.00°, γ = 90.00°
With the nearest neighbours (Å) after each atom.
Fractional coordinates of all 5 atoms:
Ge 0.0000 0.0000 0.0000  4 P 2.40, 2 Cl 2.41
P 0.0000 0.5000 0.0000  2 Ge 2.40
P 0.5000 0.0000 0.0000  2 Ge 2.40
Cl 0.0000 0.0000 0.5000  2 Ge 2.41
F 0.5000 0.5000 0.5000  4 Cl 3.40, 8 P 3.40

=====

# 12
A plane-wave DFT calculation with PBE-GGA was carried out for a geometry-optimized Sc2VCdFe structure.

Values from the calculation:
Total magnetic moment, μB per formula unit: 1.0
Density of states at the Fermi level, states/eV per cell: 4.91
Volume, Å³ per atom: 20.752
ΔH_f (0 K), eV/atom: 0.510

a = 5.0131 Å, b = 5.0131 Å, c = 4.1288 Å
α = 90.00°, β = 90.00°, γ = 90.00°
With the nearest neighbours (Å) after each atom.
Fractional coordinates of all 5 atoms:
Sc 0.0000 0.5000 0.0000  2 V 2.51
Sc 0.5000 0.0000 0.0000  2 V 2.51
V 0.0000 0.0000 0.0000  2 Fe 2.06
Cd 0.5000 0.5000 0.5000  8 Sc 3.25, 4 Fe 3.54
Fe 0.0000 0.0000 0.5000  2 V 2.06